Entry from the Alexandria database: PmTe2H after structural relaxation (PBE-GGA).

POSCAR file:
```
PmTe2H
1.0
4.659 0.000 0.000
0.006 7.201 0.000
0.002 0.413 7.940
Pm Te H
2 4 2
direct
0.000 0.000 0.000 Pm
0.500 0.000 0.500 Pm
0.000 0.252 0.325 Te
0.000 0.783 0.673 Te
0.499 0.252 0.825 Te
0.500 0.783 0.173 Te
0.004 0.485 0.294 H
0.493 0.485 0.794 H
```

Computed properties:
density = 5.00 Mg/m³
DFT total energy = -17.3 eV per formula unit
density of states at the Fermi level = 0.000 states/eV per atom

=====

Entry from the Alexandria database: AcLa6Nd12 after structural relaxation (PBE-GGA).

POSCAR file:
```
AcLa6Nd12
1.0
6.244 3.605 5.171
-6.244 3.605 5.171
0.000 -7.210 5.171
Ac La Nd
1 6 12
direct
0.000 0.000 0.000 Ac
0.094 0.265 0.693 La
0.265 0.693 0.094 La
0.307 0.906 0.735 La
0.693 0.094 0.265 La
0.735 0.307 0.906 La
0.906 0.735 0.307 La
0.018 0.362 0.193 Nd
0.193 0.018 0.362 Nd
0.222 0.565 0.465 Nd
0.362 0.193 0.018 Nd
0.435 0.535 0.778 Nd
0.465 0.222 0.565 Nd
0.535 0.778 0.435 Nd
0.565 0.465 0.222 Nd
0.638 0.807 0.982 Nd
0.778 0.435 0.535 Nd
0.807 0.982 0.638 Nd
0.982 0.638 0.807 Nd
```

Computed properties:
density = 6.64 Mg/m³
ΔE to the lowest computed polymorph = 0.000 eV/atom
E_form = 0.12 eV per atom
DFT total energy = -88.6 eV per formula unit
density of states at the Fermi level = 1.575 states/eV per atom

=====

Entry from the Alexandria database: Ge2TeC after structural relaxation (PBE-GGA).

POSCAR file:
```
Ge2TeC
1.0
-3.057 3.057 4.191
3.057 -3.057 4.191
3.057 3.057 -4.191
Ge Te C
4 2 2
direct
0.023 0.625 0.898 Ge
0.375 0.273 0.398 Ge
0.727 0.125 0.102 Ge
0.875 0.977 0.602 Ge
0.250 0.750 0.500 Te
0.500 0.500 0.000 Te
0.000 0.000 0.000 C
0.750 0.250 0.500 C
```

Computed properties:
density = 6.04 Mg/m³
ΔE to the lowest computed polymorph = 0.000 eV/atom
raw formation energy = 0.65 eV/atom
DFT total energy = -19.0 eV per formula unit
density of states at the Fermi level = 0.423 states/eV per atom

=====

Entry from the Alexandria database: CaHf2Ag2 after structural relaxation (PBE-GGA).

POSCAR file:
```
CaHf2Ag2
1.0
8.453 0.000 0.000
0.000 8.453 0.000
0.000 0.000 3.130
Ca Hf Ag
2 4 4
direct
0.000 0.000 0.000 Ca
0.500 0.500 0.000 Ca
0.165 0.335 0.500 Hf
0.335 0.835 0.500 Hf
0.665 0.165 0.500 Hf
0.835 0.665 0.500 Hf
0.128 0.628 0.000 Ag
0.372 0.128 0.000 Ag
0.628 0.872 0.000 Ag
0.872 0.372 0.000 Ag
```

Computed properties:
density = 9.10 Mg/m³
ΔE to the lowest computed polymorph = 0.024 eV/atom
E_form = 0.18 eV per atom
DFT total energy = -26.7 eV per formula unit
density of states at the Fermi level = 1.058 states/eV per atom